(1)
ZrZnIn3 | PBE | relaxed

The structure in CIF format:
```
data_ZrZnIn3
_chemical_formula_sum 'Zr1 Zn1 In3'
_cell_length_a 5.0603
_cell_length_b 5.0603
_cell_length_c 5.0603
_cell_angle_alpha 90.00
_cell_angle_beta 90.00
_cell_angle_gamma 90.00
_symmetry_space_group_name_H-M 'P m -3 m'
_symmetry_Int_Tables_number 221
_symmetry_space_group_name_Hall '-P 4 2 3'
loop_
_atom_site_label
_atom_site_type_symbol
_atom_site_fract_x
_atom_site_fract_y
_atom_site_fract_z
_atom_site_occupancy
Zr1 Zr 0.0000 0.0000 0.0000 1
Zn1 Zn 0.5000 0.5000 0.5000 1
In1 In 0.0000 0.5000 0.5000 1
```

Properties
Relative energy among the computed polymorphs: 0 meV per atom
E_tot: -3.0757 eV/atom
ρ: 6.4 Mg/m³
Magnetization: 0.00 μB/cell
E_form: 531.8 meV per atom
N(E_F): 0.578 states/eV per atom

=====

(2)
Zr3ZnIn | PBE | relaxed

The structure in CIF format:
```
data_Zr3ZnIn
_chemical_formula_sum 'Zr6 Zn2 In2'
_cell_length_a 5.3834
_cell_length_b 6.0070
_cell_length_c 7.4396
_cell_angle_alpha 70.49
_cell_angle_beta 71.76
_cell_angle_gamma 87.39
_symmetry_space_group_name_H-M 'P 1'
_symmetry_Int_Tables_number 1
loop_
_symmetry_equiv_pos_as_xyz
'x,y,z'
loop_
_atom_site_label
_atom_site_type_symbol
_atom_site_fract_x
_atom_site_fract_y
_atom_site_fract_z
_atom_site_occupancy
Zr1 Zr 0.0000 0.0000 0.0000 1
Zr2 Zr 0.0707 0.5027 0.9518 1
Zr3 Zr 0.3146 0.8209 0.5403 1
Zr4 Zr 0.5673 0.8462 0.8692 1
Zr5 Zr 0.7565 0.4872 0.6619 1
Zr6 Zr 0.8721 0.1106 0.4068 1
Zn1 Zn 0.1639 0.6258 0.2733 1
Zn2 Zn 0.6744 0.6119 0.2697 1
In1 In 0.3037 0.2911 0.5846 1
In2 In 0.4863 0.2319 0.1220 1
```

Properties
Relative energy among the computed polymorphs: 79 meV per atom
E_tot: -6.0599 eV/atom
ρ: 7.0 Mg/m³
Magnetization: 0.00 μB/cell
E_form: -128.6 meV per atom
N(E_F): 0.771 states/eV per atom

=====

(3)
Zr6Zn2In | PBE | relaxed

The structure in CIF format:
```
data_Zr6Zn2In
_chemical_formula_sum 'Zr24 Zn8 In4'
_cell_length_a 8.5319
_cell_length_b 8.8384
_cell_length_c 10.2285
_cell_angle_alpha 90.00
_cell_angle_beta 90.00
_cell_angle_gamma 90.00
_symmetry_space_group_name_H-M 'I m m m'
_symmetry_Int_Tables_number 71
_symmetry_space_group_name_Hall '-I 2 2'
loop_
_atom_site_label
_atom_site_type_symbol
_atom_site_fract_x
_atom_site_fract_y
_atom_site_fract_z
_atom_site_occupancy
Zr1 Zr 0.0000 0.2157 0.1845 1
Zr2 Zr 0.2049 0.2108 0.5000 1
Zr3 Zr 0.2087 0.5000 0.2522 1
Zn1 Zn 0.0000 0.0000 0.3796 1
Zn2 Zn 0.1491 0.0000 0.0000 1
In1 In 0.0000 0.5000 0.0000 1
In2 In 0.0000 0.5000 0.5000 1
```

Properties
E_tot: -6.4204 eV/atom
ρ: 6.8 Mg/m³
Magnetization: 0.00 μB/cell
E_form: -134.3 meV per atom
N(E_F): 1.252 states/eV per atom

=====

(4)
Zr5Zn4In | PBE | relaxed

The structure in CIF format:
```
data_Zr5Zn4In
_chemical_formula_sum 'Zr5 Zn4 In1'
_cell_length_a 3.2945
_cell_length_b 3.2945
_cell_length_c 17.8844
_cell_angle_alpha 90.00
_cell_angle_beta 90.00
_cell_angle_gamma 90.00
_symmetry_space_group_name_H-M 'P 4/m m m'
_symmetry_Int_Tables_number 123
_symmetry_space_group_name_Hall '-P 4 2'
loop_
_atom_site_label
_atom_site_type_symbol
_atom_site_fract_x
_atom_site_fract_y
_atom_site_fract_z
_atom_site_occupancy
Zr1 Zr 0.0000 0.0000 0.0000 1
Zr2 Zr 0.0000 0.0000 0.1904 1
Zr3 Zr 0.0000 0.0000 0.3841 1
Zn1 Zn 0.5000 0.5000 0.0950 1
Zn2 Zn 0.5000 0.5000 0.2859 1
In1 In 0.5000 0.5000 0.5000 1
```

Properties
E_tot: -5.3242 eV/atom
ρ: 7.1 Mg/m³
Magnetization: 0.00 μB/cell
E_form: -266.7 meV per atom
N(E_F): 0.439 states/eV per atom

=====

(5)
Zr3ZnIn2 | PBE | relaxed

The structure in CIF format:
```
data_Zr3ZnIn2
_chemical_formula_sum 'Zr3 Zn1 In2'
_cell_length_a 3.1261
_cell_length_b 3.1261
_cell_length_c 12.8911
_cell_angle_alpha 90.00
_cell_angle_beta 90.00
_cell_angle_gamma 90.00
_symmetry_space_group_name_H-M 'P 4/m m m'
_symmetry_Int_Tables_number 123
_symmetry_space_group_name_Hall '-P 4 2'
loop_
_atom_site_label
_atom_site_type_symbol
_atom_site_fract_x
_atom_site_fract_y
_atom_site_fract_z
_atom_site_occupancy
Zr1 Zr 0.0000 0.0000 0.0000 1
Zr2 Zr 0.0000 0.0000 0.3519 1
Zn1 Zn 0.5000 0.5000 0.5000 1
In1 In 0.5000 0.5000 0.1747 1
```

Properties
E_tot: -5.6917 eV/atom
ρ: 7.5 Mg/m³
Magnetization: 0.00 μB/cell
E_form: -292.5 meV per atom
N(E_F): 0.900 states/eV per atom

=====

(6)
Zr3Zn2In | PBE | relaxed

The structure in CIF format:
```
data_Zr3Zn2In
_chemical_formula_sum 'Zr3 Zn2 In1'
_cell_length_a 3.0853
_cell_length_b 3.0853
_cell_length_c 12.4921
_cell_angle_alpha 90.00
_cell_angle_beta 90.00
_cell_angle_gamma 90.00
_symmetry_space_group_name_H-M 'P 4/m m m'
_symmetry_Int_Tables_number 123
_symmetry_space_group_name_Hall '-P 4 2'
loop_
_atom_site_label
_atom_site_type_symbol
_atom_site_fract_x
_atom_site_fract_y
_atom_site_fract_z
_atom_site_occupancy
Zr1 Zr 0.0000 0.0000 0.0000 1
Zr2 Zr 0.0000 0.0000 0.3108 1
Zn1 Zn 0.5000 0.5000 0.1576 1
In1 In 0.5000 0.5000 0.5000 1
```

Properties
E_tot: -5.4255 eV/atom
ρ: 7.3 Mg/m³
Magnetization: 0.00 μB/cell
E_form: -270.4 meV per atom
N(E_F): 0.982 states/eV per atom

=====

(7)
ZrZnIn | PBE | relaxed

The structure in CIF format:
```
data_ZrZnIn
_chemical_formula_sum 'Zr4 Zn4 In4'
_cell_length_a 4.3797
_cell_length_b 4.1441
_cell_length_c 13.2627
_cell_angle_alpha 90.00
_cell_angle_beta 90.00
_cell_angle_gamma 90.00
_symmetry_space_group_name_H-M 'A m m 2'
_symmetry_Int_Tables_number 38
loop_
_symmetry_equiv_pos_as_xyz
'x,y,z'
'-x,-y,z'
'-x,y,z'
'x,-y,z'
'x,y+1/2,z+1/2'
'-x,-y+1/2,z+1/2'
'-x,y+1/2,z+1/2'
'x,-y+1/2,z+1/2'
loop_
_atom_site_label
_atom_site_type_symbol
_atom_site_fract_x
_atom_site_fract_y
_atom_site_fract_z
_atom_site_occupancy
Zr1 Zr 0.0000 0.0000 0.0000 1
Zr2 Zr 0.0000 0.0000 0.3163 1
Zn1 Zn 0.0000 0.0000 0.6530 1
Zn2 Zn 0.5000 0.0000 0.4864 1
In1 In 0.5000 0.0000 0.1546 1
In2 In 0.5000 0.0000 0.8362 1
```

Properties
E_tot: -4.4640 eV/atom
ρ: 7.5 Mg/m³
Magnetization: 0.00 μB/cell
E_form: -277.1 meV per atom
N(E_F): 0.448 states/eV per atom

=====

(8)
Zr12ZnIn3 | PBE | relaxed

The structure in CIF format:
```
data_Zr12ZnIn3
_chemical_formula_sum 'Zr12 Zn1 In3'
_cell_length_a 4.4521
_cell_length_b 4.4521
_cell_length_c 17.7478
_cell_angle_alpha 90.00
_cell_angle_beta 90.00
_cell_angle_gamma 90.00
_symmetry_space_group_name_H-M 'P 4/m m m'
_symmetry_Int_Tables_number 123
_symmetry_space_group_name_Hall '-P 4 2'
loop_
_atom_site_label
_atom_site_type_symbol
_atom_site_fract_x
_atom_site_fract_y
_atom_site_fract_z
_atom_site_occupancy
Zr1 Zr 0.0000 0.0000 0.0000 1
Zr2 Zr 0.0000 0.0000 0.2465 1
Zr3 Zr 0.0000 0.0000 0.5000 1
Zr4 Zr 0.0000 0.5000 0.1198 1
Zr5 Zr 0.0000 0.5000 0.3735 1
Zn1 Zn 0.5000 0.5000 0.0000 1
In1 In 0.5000 0.5000 0.2462 1
In2 In 0.5000 0.5000 0.5000 1
```

Properties
E_tot: -7.2205 eV/atom
ρ: 7.1 Mg/m³
Magnetization: 0.00 μB/cell
E_form: -216.3 meV per atom
N(E_F): 0.980 states/eV per atom

=====

(9)
ZrZnIn | PBE | relaxed

The structure in CIF format:
```
data_ZrZnIn
_chemical_formula_sum 'Zr6 Zn6 In6'
_cell_length_a 13.5085
_cell_length_b 3.4061
_cell_length_c 7.7795
_cell_angle_alpha 90.00
_cell_angle_beta 90.00
_cell_angle_gamma 90.00
_symmetry_space_group_name_H-M 'P m m a'
_symmetry_Int_Tables_number 51
loop_
_symmetry_equiv_pos_as_xyz
'x,y,z'
'-x,-y,-z'
'-x+1/2,-y,z'
'x+1/2,y,-z'
'x+1/2,-y,-z'
'-x+1/2,y,z'
'-x,y,-z'
'x,-y,z'
loop_
_atom_site_label
_atom_site_type_symbol
_atom_site_fract_x
_atom_site_fract_y
_atom_site_fract_z
_atom_site_occupancy
Zr1 Zr 0.0645 0.0000 0.2302 1
Zr2 Zr 0.2500 0.0000 0.7947 1
Zn1 Zn 0.0852 0.5000 0.9255 1
Zn2 Zn 0.2500 0.0000 0.4242 1
In1 In 0.1019 0.5000 0.5719 1
In2 In 0.2500 0.5000 0.1313 1
```

Properties
E_tot: -4.4285 eV/atom
ρ: 7.6 Mg/m³
Magnetization: 0.00 μB/cell
E_form: -241.6 meV per atom
N(E_F): 0.416 states/eV per atom

=====

(10)
ZrZnIn | PBE | relaxed

The structure in CIF format:
```
data_ZrZnIn
_chemical_formula_sum 'Zr2 Zn2 In2'
_cell_length_a 4.5337
_cell_length_b 3.2977
_cell_length_c 8.0301
_cell_angle_alpha 90.00
_cell_angle_beta 90.00
_cell_angle_gamma 90.00
_symmetry_space_group_name_H-M 'P m m a'
_symmetry_Int_Tables_number 51
loop_
_symmetry_equiv_pos_as_xyz
'x,y,z'
'-x,-y,-z'
'-x+1/2,-y,z'
'x+1/2,y,-z'
'x+1/2,-y,-z'
'-x+1/2,y,z'
'-x,y,-z'
'x,-y,z'
loop_
_atom_site_label
_atom_site_type_symbol
_atom_site_fract_x
_atom_site_fract_y
_atom_site_fract_z
_atom_site_occupancy
Zr1 Zr 0.2500 0.0000 0.2259 1
Zn1 Zn 0.2500 0.5000 0.9308 1
In1 In 0.2500 0.5000 0.6013 1
```

Properties
E_tot: -4.4170 eV/atom
ρ: 7.5 Mg/m³
Magnetization: 0.00 μB/cell
E_form: -230.2 meV per atom
N(E_F): 0.461 states/eV per atom

=====

(11)
ZrZnIn | PBE | relaxed

The structure in CIF format:
```
data_ZrZnIn
_chemical_formula_sum 'Zr4 Zn4 In4'
_cell_length_a 10.5718
_cell_length_b 4.1677
_cell_length_c 6.9073
_cell_angle_alpha 90.00
_cell_angle_beta 127.91
_cell_angle_gamma 90.00
_symmetry_space_group_name_H-M 'C 1 2/m 1'
_symmetry_Int_Tables_number 12
loop_
_symmetry_equiv_pos_as_xyz
'x,y,z'
'-x,-y,-z'
'-x,y,-z'
'x,-y,z'
'x+1/2,y+1/2,z'
'-x+1/2,-y+1/2,-z'
'-x+1/2,y+1/2,-z'
'x+1/2,-y+1/2,z'
loop_
_atom_site_label
_atom_site_type_symbol
_atom_site_fract_x
_atom_site_fract_y
_atom_site_fract_z
_atom_site_occupancy
Zr1 Zr 0.0719 0.0000 0.3280 1
Zn1 Zn 0.1436 0.5000 0.6680 1
In1 In 0.1675 0.5000 0.0949 1
```

Properties
E_tot: -4.4376 eV/atom
ρ: 7.5 Mg/m³
Magnetization: 0.00 μB/cell
E_form: -250.8 meV per atom
N(E_F): 0.701 states/eV per atom

=====

(12)
Zr2ZnIn3 | PBE | relaxed

The structure in CIF format:
```
data_Zr2ZnIn3
_chemical_formula_sum 'Zr4 Zn2 In6'
_cell_length_a 4.3074
_cell_length_b 13.4997
_cell_length_c 4.3773
_cell_angle_alpha 90.00
_cell_angle_beta 90.00
_cell_angle_gamma 90.00
_symmetry_space_group_name_H-M 'C m m m'
_symmetry_Int_Tables_number 65
_symmetry_space_group_name_Hall '-C 2 2'
loop_
_atom_site_label
_atom_site_type_symbol
_atom_site_fract_x
_atom_site_fract_y
_atom_site_fract_z
_atom_site_occupancy
Zr1 Zr 0.0000 0.1563 0.0000 1
Zn1 Zn 0.0000 0.0000 0.5000 1
In1 In 0.0000 0.3297 0.5000 1
In2 In 0.0000 0.5000 0.0000 1
```

Properties
E_tot: -4.7253 eV/atom
ρ: 7.7 Mg/m³
Magnetization: 0.00 μB/cell
E_form: -294.3 meV per atom
N(E_F): 0.457 states/eV per atom